# 1
Material: NiPtS
Method: DFT, PBE-GGA
State: optimized geometry

```
NiPtS
1.0
-0.832 4.294 0.843
-1.111 0.409 -3.183
-11.134 -4.780 3.270
Pt Ni S
4 4 4
Direct
0.115 0.500 0.551 Pt
0.685 0.000 0.444 Pt
0.115 0.000 0.051 Pt
0.685 0.500 0.944 Pt
0.521 0.000 0.636 Ni
0.521 0.500 0.136 Ni
0.893 0.500 0.304 Ni
0.893 0.000 0.804 Ni
0.343 0.500 0.399 S
0.823 0.000 0.189 S
0.823 0.500 0.689 S
0.343 0.000 0.899 S
```

Results
Volume: 187.6 Å³ per cell
Space-group type: Cm
Electronic total energy: -65.90 eV/cell


# 2
Material: Tb5Dy2Pd4
Method: DFT, PBE-GGA
State: optimized geometry

```
Tb5Dy2Pd4
1.0
3.601 0.000 0.000
0.000 6.778 0.655
-1.800 -0.845 12.287
Dy Tb Pd
2 5 4
Direct
0.909 0.664 0.818 Dy
0.091 0.336 0.182 Dy
0.765 0.751 0.530 Tb
0.866 0.176 0.732 Tb
0.500 0.000 0.000 Tb
0.235 0.249 0.470 Tb
0.134 0.824 0.268 Tb
0.974 0.314 0.949 Pd
0.670 0.507 0.340 Pd
0.330 0.493 0.660 Pd
0.026 0.686 0.051 Pd
```

Results
Volume: 301.9 Å³ per cell
Space-group type: C2/m
Electronic total energy: -57.65 eV/cell


# 3
Material: Li2FeSe
Method: DFT, PBE-GGA
State: optimized geometry

```
Li2FeSe
1.0
-1.421 -3.817 -1.316
2.581 -1.786 2.394
-1.861 -0.750 4.186
Fe Li Se
1 2 1
Direct
0.500 0.593 0.714 Fe
0.500 0.251 0.324 Li
0.000 0.995 0.924 Li
0.000 0.661 0.538 Se
```

Results
Volume: 73.3 Å³ per cell
Space-group type: Pm
Electronic total energy: -16.42 eV/cell